## CsYTmSe3 (PBE)

Data for a relaxed structure of CsYTmSe3.

Summary:
Volume: 408.18 Å³ per cell
Mass density: 5.11 g cm⁻³
Space group: Cmcm (63)
Energy: -62.98 eV/cell
Relative energy among the computed polymorphs: 3.35 kJ/mol of atoms
Magnetization: 0.17 μB per formula unit
Crystal system: orthorhombic

Cell: 8.4975 8.4975 11.0871 Å, 90.00 90.00 149.35°
Positions (direct):
Cs: 0.2405 0.7595 0.2500
Cs: 0.7595 0.2405 0.7500
Se: 0.8854 0.1146 0.0376
Se: 0.5609 0.4391 0.2500
Se: 0.8854 0.1146 0.4624
Se: 0.1146 0.8854 0.5376
Se: 0.4391 0.5609 0.7500
Se: 0.1146 0.8854 0.9624
Tm: 0.5000 0.5000 0.0000
Tm: 0.5000 0.5000 0.5000
Y: 0.9676 0.0324 0.2500
Y: 0.0324 0.9676 0.7500